[1]
Entry from the Alexandria database: ZrIn3 at its PBEsol-relaxed geometry (meta-GGA SCAN).

abc: 3.1792 5.5127 5.5127
angles: 113.16 90.00 90.00
Atoms (fractional coordinates):
Zr 0.0000 0.0000 0.0000
In 0.5000 0.0000 0.5000
In 0.5000 0.5000 0.0000
In 0.0000 0.5000 0.5000

Computed properties:
formation energy from the elements: -0.234 eV/atom
total moment: 0.00 Bohr magnetons per cell

[2]
Entry from the Alexandria database: NaYRhI2 at its PBEsol-relaxed geometry (meta-GGA SCAN).

abc: 4.9063 5.9669 5.9669
angles: 90.00 90.00 90.00
Last column: magnetic moment on the atom in μB.
Atoms (fractional coordinates):
I 0.0000 0.0000 0.5000  0.02
I 0.0000 0.5000 0.0000  0.02
Y 0.0000 0.0000 0.0000  0.09
Rh 0.5000 0.0000 0.0000  0.25
Na 0.5000 0.5000 0.5000  0.00

Computed properties:
formation energy without anion corrections: -0.37 eV/atom
total moment: 0.75 Bohr magnetons per cell

[3]
Entry from the Alexandria database: BaZrF6 at its PBEsol-relaxed geometry (meta-GGA SCAN).

abc: 5.4923 6.8521 6.8521
angles: 112.76 90.00 90.00
Atoms (fractional coordinates):
Ba 0.5604 0.2500 0.7500
Ba 0.4396 0.7500 0.2500
Zr 0.0000 0.7500 0.7500
Zr 0.0000 0.2500 0.2500
F 0.2502 0.1812 0.4333
F 0.2502 0.3188 0.0667
F 0.7498 0.4333 0.1812
F 0.7498 0.0667 0.3188
F 0.1536 0.5683 0.4317
F 0.1536 0.9317 0.0683
F 0.8464 0.4317 0.5683
F 0.8464 0.0683 0.9317
F 0.2502 0.9333 0.6812
F 0.2502 0.5667 0.8188
F 0.7498 0.6812 0.9333
F 0.7498 0.8188 0.5667

Computed properties:
formation energy without anion corrections: -4.11 eV/atom
total moment: 0.00 Bohr magnetons per cell

[4]
Entry from the Alexandria database: CuICl at its PBEsol-relaxed geometry (meta-GGA SCAN).

abc: 4.0921 6.4043 6.5734
angles: 64.73 76.35 81.36
Last column: magnetic moment on the atom in μB.
Atoms (fractional coordinates):
I 0.9240 0.5547 0.7336  0.03
I 0.0760 0.4453 0.2664  0.03
Cu 0.2774 0.2380 0.9905  0.15
Cu 0.7226 0.7620 0.0095  0.15
Cl 0.5991 0.9717 0.2282  0.05
Cl 0.4009 0.0283 0.7718  0.05

Computed properties:
formation energy without anion corrections: -0.35 eV/atom
total moment: 0.52 Bohr magnetons per cell